No. 1
# NbCr2I (GGA-PBE, optimized geometry)
data_NbCr2I
_chemical_formula_sum 'Nb4 Cr8 I4'
_symmetry_space_group_name_H-M 'I -4 2 d'
_symmetry_Int_Tables_number 122
_symmetry_space_group_name_Hall 'I -4 2bw'
_cell_length_a 4.200
_cell_length_b 4.200
_cell_length_c 18.079
_cell_angle_alpha 90.00
_cell_angle_beta 90.00
_cell_angle_gamma 90.00
loop_
_atom_site_label
_atom_site_type_symbol
_atom_site_fract_x
_atom_site_fract_y
_atom_site_fract_z
_atom_site_occupancy
Nb1 Nb 0.000 0.000 0.000 1
Cr1 Cr 0.240 0.250 0.125 1
I1 I 0.000 0.000 0.500 1
# total DFT energy (no corrections) = -6.56 eV/atom
# formation energy (no corrections) = 1159 meV/atom
# energy above the most stable polymorph in this dataset = 0.243 eV/atom



No. 2
# Hf5CuRu4 (GGA-PBE, optimized geometry)
data_Hf5CuRu4
_chemical_formula_sum 'Hf5 Cu1 Ru4'
_symmetry_space_group_name_H-M 'P 4/m m m'
_symmetry_Int_Tables_number 123
_symmetry_space_group_name_Hall '-P 4 2'
_cell_length_a 3.227
_cell_length_b 3.227
_cell_length_c 16.435
_cell_angle_alpha 90.00
_cell_angle_beta 90.00
_cell_angle_gamma 90.00
loop_
_atom_site_label
_atom_site_type_symbol
_atom_site_fract_x
_atom_site_fract_y
_atom_site_fract_z
_atom_site_occupancy
Hf1 Hf 0.000 0.000 0.000 1
Hf2 Hf 0.000 0.000 0.199 1
Hf3 Hf 0.000 0.000 0.399 1
Cu1 Cu 0.500 0.500 0.500 1
Ru1 Ru 0.500 0.500 0.100 1
Ru2 Ru 0.500 0.500 0.299 1
# total DFT energy (no corrections) = -9.77 eV/atom
# formation enthalpy at 0 K = -649 kJ/mol of formula units



No. 3
# CuBr (GGA-PBE, optimized geometry)
data_CuBr
_chemical_formula_sum 'Cu8 Br8'
_symmetry_space_group_name_H-M 'P a -3'
_symmetry_Int_Tables_number 205
_symmetry_space_group_name_Hall '-P 2ac 2ab 3'
_cell_length_a 6.929
_cell_length_b 6.929
_cell_length_c 6.929
_cell_angle_alpha 90.00
_cell_angle_beta 90.00
_cell_angle_gamma 90.00
loop_
_atom_site_label
_atom_site_type_symbol
_atom_site_fract_x
_atom_site_fract_y
_atom_site_fract_z
_atom_site_occupancy
Cu1 Cu 0.118 0.118 0.118 1
Br1 Br 0.160 0.660 0.840 1
# total DFT energy (no corrections) = -3.06 eV/atom
# formation energy (no corrections) = -175 meV/atom



No. 4
# Sm4AlAg3 (GGA-PBE, optimized geometry)
data_Sm4AlAg3
_chemical_formula_sum 'Sm4 Al1 Ag3'
_symmetry_space_group_name_H-M 'P 4/m m m'
_symmetry_Int_Tables_number 123
_symmetry_space_group_name_Hall '-P 4 2'
_cell_length_a 3.657
_cell_length_b 3.657
_cell_length_c 15.204
_cell_angle_alpha 90.00
_cell_angle_beta 90.00
_cell_angle_gamma 90.00
loop_
_atom_site_label
_atom_site_type_symbol
_atom_site_fract_x
_atom_site_fract_y
_atom_site_fract_z
_atom_site_occupancy
Sm1 Sm 0.000 0.000 0.124 1
Sm2 Sm 0.000 0.000 0.374 1
Al1 Al 0.500 0.500 0.000 1
Ag1 Ag 0.500 0.500 0.249 1
Ag2 Ag 0.500 0.500 0.500 1
# total DFT energy (no corrections) = -4.20 eV/atom
# energy above the most stable polymorph in this dataset = 0.000 eV/atom
# formation enthalpy at 0 K = -235 kJ/mol of formula units



No. 5
# Th2HSe (GGA-PBE, optimized geometry)
data_Th2HSe
_chemical_formula_sum 'Th6 H3 Se3'
_symmetry_space_group_name_H-M 'R -3 m'
_symmetry_Int_Tables_number 166
_symmetry_space_group_name_Hall '-R 3 2"'
_cell_length_a 3.7807
_cell_length_b 3.7807
_cell_length_c 21.4842
_cell_angle_alpha 90.00
_cell_angle_beta 90.00
_cell_angle_gamma 120.00
loop_
_atom_site_label
_atom_site_type_symbol
_atom_site_fract_x
_atom_site_fract_y
_atom_site_fract_z
_atom_site_occupancy
Th1 Th 0.0000 0.0000 0.2374 1
H1 H 0.0000 0.0000 0.5000 1
Se1 Se 0.0000 0.0000 0.0000 1
# total DFT energy (no corrections) = -6.25 eV/atom
# energy above the most stable polymorph in this dataset = 0.000 eV/atom



No. 6
# CrCd3Ga (GGA-PBE, optimized geometry)
data_CrCd3Ga
_chemical_formula_sum 'Cr1 Cd3 Ga1'
_symmetry_space_group_name_H-M 'P m -3 m'
_symmetry_Int_Tables_number 221
_symmetry_space_group_name_Hall '-P 4 2 3'
_cell_length_a 5.282
_cell_length_b 5.282
_cell_length_c 5.282
_cell_angle_alpha 90.00
_cell_angle_beta 90.00
_cell_angle_gamma 90.00
loop_
_atom_site_label
_atom_site_type_symbol
_atom_site_fract_x
_atom_site_fract_y
_atom_site_fract_z
_atom_site_occupancy
Cr1 Cr 0.000 0.000 0.000 1
Cd1 Cd 0.000 0.000 0.500 1
Ga1 Ga 0.500 0.500 0.500 1
# total DFT energy (no corrections) = -2.42 eV/atom
# energy above the most stable polymorph in this dataset = 0.000 eV/atom
# formation enthalpy at 0 K = 317 kJ/mol of formula units



No. 7
# La2TbPm3Te6 (GGA-PBE, optimized geometry)
data_La2TbPm3Te6
_chemical_formula_sum 'La4 Tb2 Pm6 Te12'
_symmetry_space_group_name_H-M 'C 1 2/m 1'
_symmetry_Int_Tables_number 12
_symmetry_space_group_name_Hall '-C 2y'
_cell_length_a 19.539
_cell_length_b 4.476
_cell_length_c 9.016
_cell_angle_alpha 90.00
_cell_angle_beta 103.06
_cell_angle_gamma 90.00
loop_
_atom_site_label
_atom_site_type_symbol
_atom_site_fract_x
_atom_site_fract_y
_atom_site_fract_z
_atom_site_occupancy
La1 La 0.166 0.000 0.334 1
Tb1 Tb 0.000 0.500 0.000 1
Pm1 Pm 0.000 0.500 0.500 1
Pm2 Pm 0.170 0.000 0.835 1
Te1 Te 0.003 0.000 0.757 1
Te2 Te 0.163 0.500 0.077 1
Te3 Te 0.165 0.500 0.588 1
# total DFT energy (no corrections) = -5.42 eV/atom
# formation energy (no corrections) = -1454 meV/atom



No. 8
# Rb3Sc3TiSe8 (GGA-PBE, optimized geometry)
data_Rb3Sc3TiSe8
_chemical_formula_sum 'Rb9 Sc9 Ti3 Se24'
_symmetry_space_group_name_H-M 'R -3 m'
_symmetry_Int_Tables_number 166
_symmetry_space_group_name_Hall '-R 3 2"'
_cell_length_a 7.8363
_cell_length_b 7.8363
_cell_length_c 24.3768
_cell_angle_alpha 90.00
_cell_angle_beta 90.00
_cell_angle_gamma 120.00
loop_
_atom_site_label
_atom_site_type_symbol
_atom_site_fract_x
_atom_site_fract_y
_atom_site_fract_z
_atom_site_occupancy
Rb1 Rb 0.0000 0.5000 0.0000 1
Sc1 Sc 0.0000 0.5000 0.5000 1
Ti1 Ti 0.0000 0.0000 0.5000 1
Se1 Se 0.0000 0.0000 0.2288 1
Se2 Se 0.0121 0.5060 0.2270 1
# total DFT energy (no corrections) = -5.34 eV/atom
# formation energy (no corrections) = -1495 meV/atom



Number 1: magnetic moment 5.131 μB/f.u.. Number 2: magnetic moment 0.000 μB/f.u.. Number 3: magnetic moment 0.000 μB/f.u.. Number 4: magnetic moment 0.000 μB/f.u.. Number 5: magnetic moment 0.000 μB/f.u.. Number 6: magnetic moment 4.328 μB/f.u.. Number 7: magnetic moment 0.000 μB/f.u.. Number 8: magnetic moment 0.000 μB/f.u..